This record from the Alexandria database describes a geometry-optimized NpZn4Au structure. The functional is PBE-GGA.

## Properties
Spin magnetization   4.70 μB/f.u.
Raw total energy   -3.491 eV/atom
Energy relative to the elements   0.06 eV/atom
Volume   430.73 Å³ per cell
DOS(E_F)   47.7 states/eV per cell

The structure in CIF format:
```
data_NpZn4Au
_chemical_formula_sum 'Np4 Zn16 Au4'
_space_group_name_H-M_alt 'F -4 3 m'
_space_group_IT_number 216
_space_group_name_Hall 'F -4 2 3'
_cell_length_a 7.552
_cell_length_b 7.552
_cell_length_c 7.552
_cell_angle_alpha 90.00
_cell_angle_beta 90.00
_cell_angle_gamma 90.00
loop_
_atom_site_label
_atom_site_type_symbol
_atom_site_fract_x
_atom_site_fract_y
_atom_site_fract_z
Np1 Np 0.000 0.000 0.000
Zn1 Zn 0.125 0.125 0.625
Au1 Au 0.250 0.250 0.250
```

This record from the Alexandria database describes a geometry-optimized RbAs2Os structure. The functional is PBE-GGA.

## Properties
Spin magnetization   0.00 μB/f.u.
Raw total energy   -5.359 eV/atom
Energy relative to the elements   0.01 eV/atom
Volume   519.38 Å³ per cell
Energy relative to the lowest polymorph listed for this composition   0 meV per atom
DOS(E_F)   8.0 states/eV per cell

The structure in CIF format:
```
data_RbAs2Os
_chemical_formula_sum 'Rb4 As8 Os4'
_space_group_name_H-M_alt 'I -4 2 d'
_space_group_IT_number 122
_space_group_name_Hall 'I -4 2bw'
_cell_length_a 7.222
_cell_length_b 7.222
_cell_length_c 9.959
_cell_angle_alpha 90.00
_cell_angle_beta 90.00
_cell_angle_gamma 90.00
loop_
_atom_site_label
_atom_site_type_symbol
_atom_site_fract_x
_atom_site_fract_y
_atom_site_fract_z
Rb1 Rb 0.000 0.000 0.000
As1 As 0.113 0.250 0.625
Os1 Os 0.000 0.000 0.500
```

This record from the Alexandria database describes a geometry-optimized ScSn2Br structure. The functional is PBE-GGA.

## Properties
Spin magnetization   0.00 μB/f.u.
Formation energy from raw total energies   1.06 kcal/mol of atoms
Raw total energy   -3.957 eV/atom
Volume   423.21 Å³ per cell
Energy relative to the lowest polymorph listed for this composition   0 meV per atom
DOS(E_F)   15.0 states/eV per cell

The structure in CIF format:
```
data_ScSn2Br
_chemical_formula_sum 'Sc4 Sn8 Br4'
_space_group_name_H-M_alt 'F m -3 m'
_space_group_IT_number 225
_space_group_name_Hall '-F 4 2 3'
_cell_length_a 7.508
_cell_length_b 7.508
_cell_length_c 7.508
_cell_angle_alpha 90.00
_cell_angle_beta 90.00
_cell_angle_gamma 90.00
loop_
_atom_site_label
_atom_site_type_symbol
_atom_site_fract_x
_atom_site_fract_y
_atom_site_fract_z
Sc1 Sc 0.000 0.000 0.000
Sn1 Sn 0.250 0.250 0.250
Br1 Br 0.000 0.000 0.500
```

This record from the Alexandria database describes a geometry-optimized V5Fe2ReRu2 structure. The functional is PBE-GGA.

## Properties
Spin magnetization   0.00 μB/f.u.
Raw total energy   -9.280 eV/atom
Energy relative to the elements   0.07 eV/atom
Volume   269.16 Å³ per cell
DOS(E_F)   18.5 states/eV per cell

The structure in CIF format:
```
data_V5Fe2ReRu2
_chemical_formula_sum 'V10 Fe4 Re2 Ru4'
_space_group_name_H-M_alt 'P 4/m b m'
_space_group_IT_number 127
_space_group_name_Hall '-P 4 2ab'
_cell_length_a 9.329
_cell_length_b 9.329
_cell_length_c 3.093
_cell_angle_alpha 90.00
_cell_angle_beta 90.00
_cell_angle_gamma 90.00
loop_
_atom_site_label
_atom_site_type_symbol
_atom_site_fract_x
_atom_site_fract_y
_atom_site_fract_z
V1 V 0.000 0.500 0.000
V2 V 0.069 0.201 0.000
Fe1 Fe 0.127 0.373 0.500
Re1 Re 0.000 0.000 0.500
Ru1 Ru 0.170 0.670 0.500
```

Number 1 is which compound?
NpZn4Au